# SrCaY3

A PBEsol-optimized structure of SrCaY3 (meta-GGA SCAN, Alexandria via LeMat-Bulk). Values from VASP.

```
&SYSTEM
  ibrav = 0, nat = 5, ntyp = 3
/
ATOMIC_SPECIES
Y 88.91 Y.upf
Ca 40.08 Ca.upf
Sr 87.62 Sr.upf
CELL_PARAMETERS angstrom
-3.330 2.257 4.050
-4.558 -2.508 -2.349
0.851 -4.604 3.265
ATOMIC_POSITIONS angstrom
Y -2.279 -1.254 -1.175
Y -1.665 1.128 2.025
Y 0.425 -2.302 1.633
Ca -3.518 -2.428 2.483
Sr 0.000 0.000 0.000
```

Computed properties:
The formation energy is 4.32 eV per formula unit. The calculation puts the magnetization at 0.0 μB/cell.

# Ce2Ga7Pd

A PBEsol-optimized structure of Ce2Ga7Pd (meta-GGA SCAN, Alexandria via LeMat-Bulk). Values from VASP.

```
&SYSTEM
  ibrav = 0, nat = 10, ntyp = 3
/
ATOMIC_SPECIES
Ga 69.72 Ga.upf
Ce 140.12 Ce.upf
Pd 106.42 Pd.upf
CELL_PARAMETERS angstrom
-2.664 3.292 0.648
-2.319 -1.210 -3.393
-5.824 -5.911 6.089
ATOMIC_POSITIONS angstrom
Ga -3.600 -3.654 3.764
Ga -5.703 -2.790 4.894
Ga -2.591 -2.058 -0.200
Ga -5.530 -5.041 2.873
Ga -7.702 -4.247 4.075
Ga -2.246 -2.280 2.348
Ga -2.764 0.193 1.821
Ce -5.329 -1.839 1.594
Ce -5.788 -5.875 6.052
Pd -3.237 0.284 -0.593
```

Computed properties:
The formation energy is -6.66 eV per formula unit. The calculation puts the magnetization at 2.0 μB/cell.